Record 1
Sr2AlHg after structural relaxation, computed with GGA-PBE.

## Properties
E_form = -0.13 eV per atom
size of the total moment = 0.00 Bohr magnetons per cell
energy relative to the lowest polymorph listed for this composition = 0.175 eV/atom

Cell lengths 3.8814, 3.8814, 9.0187 Å; angles 90.00, 90.00, 90.00 degrees
With the nearest neighbours (Å) after each atom.
Positions (direct):
Sr 0.0000 0.0000 0.9280  4 Hg 3.39, 1 Al 3.44
Sr 0.5000 0.5000 0.3185  4 Al 3.43, 1 Hg 3.51
Hg 0.5000 0.5000 0.7071  4 Al 3.10, 4 Sr 3.39
Al 0.0000 0.0000 0.5464  4 Hg 3.10, 5 Sr 3.43-3.44


Record 2
Sr8AlHg2 after structural relaxation, computed with GGA-PBE.

## Properties
E_form = -0.17 eV per atom
size of the total moment = 0.00 Bohr magnetons per cell

Cell lengths 6.6152, 9.0398, 9.0398 Å; angles 112.65, 100.01, 100.01 degrees
With the nearest neighbours (Å) after each atom.
Positions (direct):
Sr 0.5746 0.3349 0.0779  2 Hg 3.34-3.37, 1 Al 3.58
Sr 0.5746 0.0779 0.3349  2 Hg 3.34-3.37, 1 Al 3.58
Sr 0.1774 0.3626 0.3626  2 Hg 3.52, 1 Al 3.56
Sr 0.9899 0.2208 0.7808  1 Al 3.44, 2 Hg 3.58-3.61
Sr 0.9899 0.7808 0.2208  1 Al 3.44, 2 Hg 3.58-3.61
Sr 0.8060 0.6409 0.6409  2 Hg 3.51, 1 Al 3.56
Sr 0.3874 0.9303 0.6736  2 Hg 3.36-3.40, 1 Al 3.55
Sr 0.3874 0.6736 0.9303  2 Hg 3.36-3.40, 1 Al 3.55
Al 0.1313 0.9990 0.9990  8 Sr 3.44-3.58
Hg 0.4906 0.6935 0.3198  8 Sr 3.34-3.61
Hg 0.4906 0.3198 0.6935  8 Sr 3.34-3.61


Record 3
SrAl2Hg after structural relaxation, computed with GGA-PBE.

## Properties
E_form = 0.04 eV per atom
size of the total moment = 0.00 Bohr magnetons per cell
energy relative to the lowest polymorph listed for this composition = 0.281 eV/atom

Cell lengths 6.0112, 6.0112, 6.0112 Å; angles 135.98, 135.98, 64.01 degrees
With the nearest neighbours (Å) after each atom.
Positions (direct):
Sr 0.7500 0.2500 0.5000  4 Hg 3.19, 8 Al 3.40
Hg 0.2500 0.7500 0.5000  4 Sr 3.19, 8 Al 3.40
Al 0.0000 0.0000 0.0000  4 Al 3.19, 4 Hg 3.40, 4 Sr 3.40
Al 0.5000 0.5000 0.0000  4 Al 3.19, 4 Sr 3.40, 4 Hg 3.40


Record 4
SrAl2Hg after structural relaxation, computed with GGA-PBE.

## Properties
E_form = 0.05 eV per atom
size of the total moment = 0.00 Bohr magnetons per cell
energy relative to the lowest polymorph listed for this composition = 0.297 eV/atom

Cell lengths 5.1514, 5.1514, 5.1514 Å; angles 60.00, 60.00, 60.00 degrees
With the nearest neighbours (Å) after each atom.
Positions (direct):
Sr 0.0000 0.0000 0.0000  8 Al 3.15
Hg 0.5000 0.5000 0.5000  8 Al 3.15
Al 0.2500 0.2500 0.2500  4 Hg 3.15, 4 Sr 3.15
Al 0.7500 0.7500 0.7500  4 Hg 3.15, 4 Sr 3.15


Record 5
SrAl2Hg2 after structural relaxation, computed with GGA-PBE.

## Properties
E_form = -0.27 eV per atom
size of the total moment = 0.00 Bohr magnetons per cell
energy relative to the lowest polymorph listed for this composition = 0.015 eV/atom

Cell lengths 4.5985, 4.5985, 11.3805 Å; angles 90.00, 90.00, 90.00 degrees
With the nearest neighbours (Å) after each atom.
Positions (direct):
Sr 0.5000 0.0000 0.2498  8 Al 3.51-3.66, 8 Hg 3.51-3.66
Sr 0.0000 0.5000 0.7502  8 Al 3.51-3.66, 8 Hg 3.51-3.66
Al 0.5000 0.5000 0.5000  4 Hg 2.76
Al 0.0000 0.0000 0.5000  4 Hg 2.76
Al 0.0000 0.5000 0.1338  5 Hg 2.64-2.76
Al 0.5000 0.0000 0.8662  5 Hg 2.64-2.76
Hg 0.0000 0.5000 0.3660  5 Al 2.64-2.76
Hg 0.5000 0.0000 0.6340  5 Al 2.64-2.76
Hg 0.5000 0.5000 0.0000  4 Al 2.76
Hg 0.0000 0.0000 0.0000  4 Al 2.76


Record 6
Sr4AlHg after structural relaxation, computed with GGA-PBE.

## Properties
E_form = 0.46 eV per atom
size of the total moment = 0.00 Bohr magnetons per cell
energy relative to the lowest polymorph listed for this composition = 0.693 eV/atom

Cell lengths 7.1229, 7.1229, 7.1229 Å; angles 60.00, 60.00, 60.00 degrees
With the nearest neighbours (Å) after each atom.
Positions (direct):
Sr 0.8734 0.3755 0.3755  6 Sr 3.55-3.58
Sr 0.3755 0.3755 0.8734  6 Sr 3.55-3.58
Sr 0.3755 0.8734 0.3755  6 Sr 3.55-3.58
Sr 0.3755 0.3755 0.3755  6 Sr 3.55-3.58
Al 0.7500 0.7500 0.7500  12 Sr 4.17, 4 Hg 4.36
Hg 0.0000 0.0000 0.0000  12 Sr 4.18, 4 Al 4.36


Record 7
SrAlHg3 after structural relaxation, computed with GGA-PBE.

## Properties
E_form = -0.19 eV per atom
size of the total moment = 0.00 Bohr magnetons per cell
energy relative to the lowest polymorph listed for this composition = 0.000 eV/atom

Cell lengths 5.2518, 5.2518, 5.2518 Å; angles 90.00, 90.00, 90.00 degrees
With the nearest neighbours (Å) after each atom.
Positions (direct):
Sr 0.5000 0.5000 0.5000  12 Hg 3.71
Hg 0.0000 0.5000 0.0000  2 Al 2.63
Hg 0.0000 0.0000 0.5000  2 Al 2.63
Hg 0.5000 0.0000 0.0000  2 Al 2.63
Al 0.0000 0.0000 0.0000  6 Hg 2.63


Record 8
SrAlHg after structural relaxation, computed with GGA-PBE.

## Properties
E_form = -0.36 eV per atom
size of the total moment = 0.00 Bohr magnetons per cell
energy relative to the lowest polymorph listed for this composition = 0.036 eV/atom

Cell lengths 4.8032, 8.4714, 7.9833 Å; angles 90.00, 90.00, 90.00 degrees
With the nearest neighbours (Å) after each atom.
Positions (direct):
Sr 0.2500 0.7003 0.8815  5 Hg 3.31-3.55, 6 Al 3.39-3.64
Sr 0.7500 0.2997 0.8815  5 Hg 3.31-3.55, 6 Al 3.39-3.64
Sr 0.7500 0.2003 0.3815  5 Hg 3.31-3.55, 6 Al 3.39-3.64
Sr 0.2500 0.7997 0.3815  5 Hg 3.31-3.55, 6 Al 3.39-3.64
Hg 0.2500 0.1056 0.0777  2 Al 2.85-3.04, 2 Hg 2.99
Hg 0.7500 0.8944 0.0777  2 Al 2.85-3.04, 2 Hg 2.99
Hg 0.7500 0.6056 0.5777  2 Al 2.85-3.04, 2 Hg 2.99
Hg 0.2500 0.3944 0.5777  2 Al 2.85-3.04, 2 Hg 2.99
Al 0.2500 0.0769 0.6975  2 Al 2.73, 2 Hg 2.85-3.04
Al 0.7500 0.9231 0.6975  2 Al 2.73, 2 Hg 2.85-3.04
Al 0.7500 0.5769 0.1975  2 Al 2.73, 2 Hg 2.85-3.04
Al 0.2500 0.4231 0.1975  2 Al 2.73, 2 Hg 2.85-3.04


One value per record, in order, for density: 4.92, 3.96, 5.49, 5.88, 7.49, 3.76, 8.21, 6.44 g cm⁻³.